{
  "formula": "Re2Sn2Rh",
  "functional": "PBE",
  "state": "optimized geometry",
  "e_tot_ev_per_atom": -7.36,
  "formation_enthalpy_0k_kj_per_mol_atoms": 66.80,
  "m_tot_mub_per_atom": 0.00,
  "lattice_angstrom": [[7.7180, 0.0000, 0.0000], [0.0000, 7.7180, 0.0000], [0.0000, 0.0000, 3.1123]],
  "species": ["Re", "Re", "Re", "Re", "Rh", "Rh", "Sn", "Sn", "Sn", "Sn"],
  "frac_coords": [[0.1127, 0.6127, 0.5000], [0.6127, 0.8873, 0.5000], [0.8873, 0.3873, 0.5000], [0.3873, 0.1127, 0.5000], [0.0000, 0.0000, 0.0000], [0.5000, 0.5000, 0.0000], [0.3195, 0.8195, 0.0000], [0.8195, 0.6805, 0.0000], [0.6805, 0.1805, 0.0000], [0.1805, 0.3195, 0.0000]]
}

{
  "formula": "Ti4Pd12Rh",
  "functional": "PBE",
  "state": "optimized geometry",
  "e_tot_ev_per_atom": -6.16,
  "formation_enthalpy_0k_kj_per_mol_atoms": -19.37,
  "m_tot_mub_per_atom": 0.17,
  "lattice_angstrom": [[-2.3714, -6.1030, 2.7569], [-0.7379, -0.1479, -7.0643], [6.8599, 0.8353, 1.6475]],
  "species": ["Ti", "Ti", "Ti", "Ti", "Pd", "Pd", "Pd", "Pd", "Pd", "Pd", "Pd", "Pd", "Pd", "Pd", "Pd", "Pd", "Rh"],
  "frac_coords": [[0.0000, 0.0000, 0.5000], [0.5000, 0.0000, 0.0000], [0.5000, 0.5000, 0.5000], [0.0000, 0.5000, 0.0000], [0.0000, 0.2963, 0.2963], [0.0000, 0.7037, 0.7037], [0.7037, 0.7037, 0.0000], [0.2963, 0.2963, 0.0000], [0.2963, 0.0000, 0.2963], [0.7037, 0.0000, 0.7037], [0.5000, 0.2500, 0.7500], [0.5000, 0.7500, 0.2500], [0.7500, 0.2500, 0.5000], [0.2500, 0.7500, 0.5000], [0.7500, 0.5000, 0.2500], [0.2500, 0.5000, 0.7500], [0.0000, 0.0000, 0.0000]]
}

{
  "formula": "Tb6Pr2Ho3Pu",
  "functional": "PBE",
  "state": "optimized geometry",
  "e_tot_ev_per_atom": -5.40,
  "formation_enthalpy_0k_kj_per_mol_atoms": 4.96,
  "m_tot_mub_per_atom": 0.52,
  "lattice_angstrom": [[6.1818, -0.0043, 0.0085], [-3.0931, 5.3524, 0.0085], [-1.0527, -1.8227, 11.5970]],
  "species": ["Tb", "Tb", "Tb", "Tb", "Tb", "Tb", "Pr", "Pr", "Ho", "Ho", "Ho", "Pu"],
  "frac_coords": [[0.9162, 0.5872, 0.7479], [0.7548, 0.7548, 0.2522], [0.0838, 0.4128, 0.2521], [0.5872, 0.9162, 0.7479], [0.2452, 0.2452, 0.7478], [0.4128, 0.0838, 0.2521], [0.3335, 0.6665, 0.0000], [0.6665, 0.3335, 0.0000], [0.1666, 0.8334, 0.5000], [0.8334, 0.1666, 0.5000], [0.5000, 0.5000, 0.5000], [0.0000, 0.0000, 0.0000]]
}

{
  "formula": "ScTi2TcPt",
  "functional": "PBE",
  "state": "optimized geometry",
  "e_tot_ev_per_atom": -7.15,
  "formation_enthalpy_0k_kj_per_mol_atoms": 53.66,
  "m_tot_mub_per_atom": 0.00,
  "lattice_angstrom": [[-2.4512, 3.7154, 1.5965], [-3.8786, -2.8841, 0.7569], [1.5160, -0.8864, 4.3906]],
  "species": ["Sc", "Tc", "Pt", "Ti", "Ti"],
  "frac_coords": [[0.5000, 0.5000, 0.5000], [0.0000, 0.5000, 0.0000], [0.0000, 0.0000, 0.0000], [0.0000, 0.0000, 0.5000], [0.5000, 0.0000, 0.0000]]
}

{
  "formula": "K2Na3Tl3",
  "functional": "PBE",
  "state": "optimized geometry",
  "e_tot_ev_per_atom": -1.66,
  "formation_enthalpy_0k_kj_per_mol_atoms": -0.62,
  "m_tot_mub_per_atom": 0.00,
  "lattice_angstrom": [[3.3181, 0.0000, 0.0000], [0.0000, 8.7348, -5.0430], [0.0000, 0.0000, 10.0860]],
  "species": ["K", "K", "Na", "Na", "Na", "Tl", "Tl", "Tl"],
  "frac_coords": [[0.0000, 0.6667, 0.3333], [0.0000, 0.3333, 0.6667], [0.0000, 0.2302, 0.2302], [0.0000, 0.0000, 0.7698], [0.0000, 0.7698, 0.0000], [0.5000, 0.6627, 0.6627], [0.5000, 0.0000, 0.3373], [0.5000, 0.3373, 0.0000]]
}

{
  "formula": "CeCuTe2",
  "functional": "PBE",
  "state": "optimized geometry",
  "e_tot_ev_per_atom": -4.09,
  "raw_formation_energy_ev_per_atom": -0.01,
  "m_tot_mub_per_atom": 0.30,
  "lattice_angstrom": [[-2.0201, 3.0688, -0.8836], [-3.6761, -0.3270, -0.8114], [-4.0072, 2.1348, 8.4950]],
  "species": ["Te", "Te", "Cu", "Ce"],
  "frac_coords": [[0.1098, 0.1098, 0.6705], [0.8902, 0.8902, 0.3295], [0.5000, 0.5000, 0.5000], [0.0000, 0.0000, 0.0000]]
}

{
  "formula": "Li2Mn2As2N",
  "functional": "PBE",
  "state": "optimized geometry",
  "e_tot_ev_per_atom": -6.10,
  "raw_formation_energy_ev_per_atom": -0.42,
  "m_tot_mub_per_atom": 0.08,
  "lattice_angstrom": [[-2.9850, -1.6925, -1.5811], [1.6880, 0.1763, -3.3755], [3.3840, -5.0607, 3.5424]],
  "species": ["Li", "Li", "Mn", "Mn", "As", "As", "N"],
  "frac_coords": [[0.1645, 0.1645, 0.3290], [0.8355, 0.8355, 0.6710], [0.0000, 0.5000, 0.0000], [0.5000, 0.0000, 0.0000], [0.3700, 0.3700, 0.7401], [0.6300, 0.6300, 0.2599], [0.0000, 0.0000, 0.0000]]
}

{
  "formula": "POs",
  "functional": "PBE",
  "state": "optimized geometry",
  "e_tot_ev_per_atom": -8.24,
  "formation_enthalpy_0k_kj_per_mol_atoms": 7.25,
  "m_tot_mub_per_atom": 0.00,
  "lattice_angstrom": [[-2.6133, -1.7787, 1.9470], [0.2279, -0.4818, -3.6743], [3.7930, -4.6481, 0.8448]],
  "species": ["P", "P", "Os", "Os"],
  "frac_coords": [[0.3333, 0.6667, 0.3527], [0.6667, 0.3333, 0.8527], [0.3333, 0.6667, 0.7293], [0.6667, 0.3333, 0.2293]]
}